Here is an optimized crystal structure of RbAlAg from OQMD via LeMat-Bulk. Energies are from PBE.

Summary:
- Energy above the lowest structure with this stoichiometry: 0 kJ/mol of formula units
- Space group: F-43m
- Raw total energy: -5.95 eV for the cell shown

Cell: 5.218 5.218 5.218 Å, 60.00 60.00 60.00°
Atoms (fractional coordinates):
Rb 0.750 0.750 0.750
Ag 0.000 0.000 0.000
Al 0.250 0.250 0.250